HoPuSnRh | PBE | optimized geometry

Geometry as POSCAR:
```
HoPuSnRh
1.0
7.219 0.000 0.000
0.000 7.219 0.000
0.000 0.000 7.219
Ho Pu Sn Rh
4 4 4 4
direct
0.000 0.000 0.000 Ho
0.000 0.500 0.500 Ho
0.500 0.000 0.500 Ho
0.500 0.500 0.000 Ho
0.000 0.000 0.500 Pu
0.000 0.500 0.000 Pu
0.500 0.000 0.000 Pu
0.500 0.500 0.500 Pu
0.250 0.250 0.750 Sn
0.250 0.750 0.250 Sn
0.750 0.250 0.250 Sn
0.750 0.750 0.750 Sn
0.250 0.250 0.250 Rh
0.250 0.750 0.750 Rh
0.750 0.250 0.750 Rh
0.750 0.750 0.250 Rh
```

---

HoPuTlRh | PBE | optimized geometry

Geometry as POSCAR:
```
HoPuTlRh
1.0
3.379 0.000 0.000
0.000 3.379 0.000
0.000 0.000 8.308
Ho Pu Tl Rh
1 1 1 1
direct
0.000 0.000 0.000 Ho
0.000 0.000 0.581 Pu
0.500 0.500 0.288 Tl
0.500 0.500 0.803 Rh
```

---

HoPuTlRh | PBE | optimized geometry

Geometry as POSCAR:
```
HoPuTlRh
1.0
7.244 0.000 0.000
0.000 7.244 0.000
0.000 0.000 7.244
Ho Pu Tl Rh
4 4 4 4
direct
0.000 0.000 0.000 Ho
0.000 0.500 0.500 Ho
0.500 0.000 0.500 Ho
0.500 0.500 0.000 Ho
0.000 0.000 0.500 Pu
0.000 0.500 0.000 Pu
0.500 0.000 0.000 Pu
0.500 0.500 0.500 Pu
0.250 0.250 0.750 Tl
0.250 0.750 0.250 Tl
0.750 0.250 0.250 Tl
0.750 0.750 0.750 Tl
0.250 0.250 0.250 Rh
0.250 0.750 0.750 Rh
0.750 0.250 0.750 Rh
0.750 0.750 0.250 Rh
```

---

Ho2PuZn2Rh5 | PBE | optimized geometry

Geometry as POSCAR:
```
Ho2PuZn2Rh5
1.0
9.741 0.000 0.000
0.000 9.741 0.000
0.000 0.000 3.713
Ho Pu Zn Rh
4 2 4 10
direct
0.170 0.330 0.000 Ho
0.330 0.830 0.000 Ho
0.670 0.170 0.000 Ho
0.830 0.670 0.000 Ho
0.000 0.000 0.000 Pu
0.500 0.500 0.000 Pu
0.125 0.625 0.000 Zn
0.375 0.125 0.000 Zn
0.625 0.875 0.000 Zn
0.875 0.375 0.000 Zn
0.000 0.500 0.500 Rh
0.070 0.795 0.500 Rh
0.205 0.070 0.500 Rh
0.295 0.570 0.500 Rh
0.430 0.295 0.500 Rh
0.500 0.000 0.500 Rh
0.570 0.705 0.500 Rh
0.705 0.430 0.500 Rh
0.795 0.930 0.500 Rh
0.930 0.205 0.500 Rh
```

---

Number 1: DFT total energy -127.6 eV per cell, ΔE_f -410 meV/atom. Number 2: DFT total energy -30.3 eV per cell, ΔE_f -425 meV/atom. Number 3: DFT total energy -118.4 eV per cell, ΔE_f -243 meV/atom. Number 4: DFT total energy -138.3 eV per cell, ΔE_f -637 meV/atom.